The following is a DFT calculation (PBE) of a relaxed AcTaS6 crystal.

Unit cell a=10.6631 b=10.6631 c=10.6631 alpha=90.00 beta=90.00 gamma=90.00
With the nearest neighbours (Å) after each atom.
Space group Fm-3m (No. 225)
Unique sites:
Ac1 0.0000 0.0000 0.0000 (multiplicity 4)  6 S 2.94
Ta1 0.0000 0.0000 0.5000 (multiplicity 4)  6 S 2.39
S1 0.0000 0.0000 0.2759 (multiplicity 24)  1 Ta 2.39

Computed properties:
The energy relative to the elements, uncorrected comes out at -0.43 eV per atom. Its total energy is -176.63 eV for the cell shown.

=====

The following is a DFT calculation (PBE) of a relaxed Pr2Sn3Pb crystal.

Unit cell a=5.7067 b=6.5289 c=10.1723 alpha=90.00 beta=90.00 gamma=90.00
With the nearest neighbours (Å) after each atom.
Space group Immm (No. 71)
Unique sites:
Pr1 0.0000 0.0000 0.1794 (multiplicity 4)  1 Pb 3.26, 6 Sn 3.27-3.39, 1 Pr 3.65
Sn1 0.0000 0.5000 0.1629 (multiplicity 4)  4 Pr 3.27, 2 Pb 3.30, 2 Sn 3.31-3.43
Sn2 0.0000 0.5000 0.5000 (multiplicity 2)  2 Pb 3.26, 4 Pr 3.39, 2 Sn 3.43
Pb1 0.0000 0.0000 0.5000 (multiplicity 2)  2 Pr 3.26, 6 Sn 3.26-3.30

Computed properties:
For the energy of formation from the pure elements, the calculation gives -0.320 eV per atom. Its total energy is -54.39 eV for the cell shown.

=====

The following is a DFT calculation (PBE) of a relaxed Rb3NaAg2F6 crystal.

Unit cell a=6.5319 b=6.5319 c=7.0026 alpha=90.00 beta=90.00 gamma=120.00
With the nearest neighbours (Å) after each atom.
Space group P-3m1 (No. 164)
Unique sites:
Rb1 0.0000 0.0000 0.0000 (multiplicity 1)  6 F 2.78
Rb2 0.3333 0.6667 0.6105 (multiplicity 2)  3 F 2.92
Na1 0.0000 0.0000 0.5000 (multiplicity 1)  6 F 2.33
Ag1 0.3333 0.6667 0.1320 (multiplicity 2)  3 F 2.25
F1 0.1631 0.3263 0.2968 (multiplicity 6)  1 Ag 2.25, 1 Na 2.33

Computed properties:
The energy relative to the elements, uncorrected comes out at -2.00 eV per atom. Its total energy is -45.11 eV for the cell shown.